Entry from Alexandria: crystalline KBOsRu2 at its relaxed geometry (GGA-PBE).

Cell: 4.3054 4.3054 4.2090 Å, 90.00 90.00 90.00°
Fractional positions:
1 K 0.0000 0.0000 0.0000
2 B 0.5000 0.5000 0.5000
3 Os 0.5000 0.5000 0.0000
4 Ru 0.0000 0.5000 0.5000
5 Ru 0.5000 0.0000 0.5000

Calculated values
Total energy in eV for the cell shown: -32.66
Total moment in μB/atom: 0.319
N(E_F) in states/eV per cell: 6.6
Energy of formation from the pure elements in eV/atom: 0.98
Symmetry: P4/mmm (123)


Entry from Alexandria: crystalline K2ScBOs at its relaxed geometry (GGA-PBE).

Cell: 5.5718 5.5718 4.7123 Å, 90.00 90.00 90.00°
Fractional positions:
1 K 0.0000 0.5000 0.0000
2 K 0.5000 0.0000 0.0000
3 Sc 0.0000 0.0000 0.5000
4 B 0.0000 0.0000 0.0000
5 Os 0.5000 0.5000 0.5000

Calculated values
Total energy in eV for the cell shown: -17.72
Total moment in μB/atom: 0.542
N(E_F) in states/eV per cell: 6.7
Energy of formation from the pure elements in eV/atom: 1.74
Symmetry: P4/mmm (123)


Entry from Alexandria: crystalline KScB2Os at its relaxed geometry (GGA-PBE).

Cell: 4.4209 4.4209 4.8764 Å, 90.00 90.00 90.00°
Fractional positions:
1 K 0.0000 0.0000 0.0000
2 Sc 0.0000 0.0000 0.5000
3 B 0.0000 0.5000 0.5000
4 B 0.5000 0.0000 0.5000
5 Os 0.5000 0.5000 0.0000

Calculated values
Total energy in eV for the cell shown: -19.40
Total moment in μB/atom: 0.311
N(E_F) in states/eV per cell: 3.3
Energy of formation from the pure elements in eV/atom: 2.52
Symmetry: P4/mmm (123)


Entry from Alexandria: crystalline KB2OsSe at its relaxed geometry (GGA-PBE).

Cell: 4.5341 4.5341 4.6348 Å, 90.00 90.00 90.00°
Fractional positions:
1 K 0.0000 0.0000 0.0000
2 B 0.0000 0.5000 0.5000
3 B 0.5000 0.0000 0.5000
4 Os 0.5000 0.5000 0.0000
5 Se 0.5000 0.5000 0.5000

Calculated values
Raw formation energy in kJ/mol of formula units: 979
Total energy in eV for the cell shown: -19.02
Total moment in μB/atom: 0.000
N(E_F) in states/eV per cell: 3.6
Symmetry: P4/mmm (123)